Material: AcTc4Sn12
Method: DFT, GGA-PBE
State: optimized geometry

Cell: 8.396 8.396 8.396 Å, 109.47 109.47 109.47°
Fractional coordinates of all 17 atoms:
Ac (0.000, 0.000, 0.000)
Tc (0.000, 0.500, 0.000)
Tc (0.500, 0.000, 0.000)
Tc (0.500, 0.500, 0.500)
Tc (0.000, 0.000, 0.500)
Sn (0.826, 0.328, 0.155)
Sn (0.328, 0.502, 0.174)
Sn (0.845, 0.174, 0.672)
Sn (0.328, 0.155, 0.826)
Sn (0.155, 0.826, 0.328)
Sn (0.672, 0.498, 0.826)
Sn (0.502, 0.174, 0.328)
Sn (0.498, 0.826, 0.672)
Sn (0.672, 0.845, 0.174)
Sn (0.826, 0.672, 0.498)
Sn (0.174, 0.328, 0.502)
Sn (0.174, 0.672, 0.845)

Computed properties:
symmetry	No. 204
crystal system	cubic

Material: Ac4TcSn
Method: DFT, GGA-PBE
State: optimized geometry

Cell: 6.763 8.587 8.587 Å, 113.83 100.13 100.13°
Fractional coordinates of all 12 atoms:
Ac (0.884, 0.643, 0.790)
Ac (0.050, 0.944, 0.279)
Ac (0.616, 0.210, 0.357)
Ac (0.450, 0.722, 0.056)
Ac (0.550, 0.278, 0.944)
Ac (0.384, 0.790, 0.643)
Ac (0.950, 0.056, 0.721)
Ac (0.116, 0.357, 0.210)
Tc (0.250, 0.002, 0.998)
Tc (0.750, 0.998, 0.002)
Sn (0.750, 0.625, 0.375)
Sn (0.250, 0.375, 0.625)

Computed properties:
symmetry	No. 15
crystal system	monoclinic

Material: AcTcSn
Method: DFT, GGA-PBE
State: optimized geometry

Cell: 4.469 4.469 9.185 Å, 105.54 105.54 87.16°
Fractional coordinates of all 6 atoms:
Tc (0.898, 0.898, 0.577)
Tc (0.102, 0.102, 0.423)
Ac (0.523, 0.523, 0.723)
Ac (0.477, 0.477, 0.277)
Sn (0.126, 0.126, 0.893)
Sn (0.874, 0.874, 0.107)

Computed properties:
symmetry	No. 12
crystal system	monoclinic
ΔE to the lowest computed polymorph	134.8	meV per atom

Material: Ac3TcSn
Method: DFT, GGA-PBE
State: optimized geometry

Cell: 5.628 5.628 5.628 Å, 90.00 90.00 90.00°
Fractional coordinates of all 5 atoms:
Ac (0.000, 0.500, 0.000)
Ac (0.000, 0.000, 0.500)
Ac (0.500, 0.000, 0.000)
Sn (0.500, 0.500, 0.500)
Tc (0.000, 0.000, 0.000)

Computed properties:
symmetry	No. 221
crystal system	cubic

Here are the calculated calculated formation energy numbers, same order: 0.14, -0.22, 0.12, -0.17 (eV/atom).
Here are the calculated magnetization numbers, same order: 0.000, 0.001, 0.000, 0.000 (μB/f.u.).